Record 1
Material: Zr2ScTl3Te6
Method: DFT, GGA-PBE
State: relaxed

## Properties
**Uncorrected energy**: -4.84 eV per atom
**Crystal system**: monoclinic
**DOS(E_F)**: 6.80 states/eV/f.u.
**Uncorrected formation energy**: -0.72 eV/atom

a = 7.166 Å, b = 12.416 Å, c = 8.755 Å
α = 90.00°, β = 105.81°, γ = 90.00°
Space group C2/m (No. 12)
Inequivalent atoms, fractional coordinates:
Zr  0.000  0.166  0.000
Sc  0.000  0.500  0.000
Tl  0.000  0.000  0.500
Tl  0.000  0.333  0.500
Te  0.236  0.000  0.207
Te  0.236  0.333  0.207


Record 2
Material: Tm8ScTe2
Method: DFT, GGA-PBE
State: relaxed

## Properties
**Uncorrected energy**: -4.49 eV per atom
**Crystal system**: monoclinic
**DOS(E_F)**: 12.80 states/eV/f.u.
**Uncorrected formation energy**: -0.09 eV/atom

a = 14.357 Å, b = 8.735 Å, c = 5.694 Å
α = 90.00°, β = 95.51°, γ = 90.00°
Space group C2/m (No. 12)
Inequivalent atoms, fractional coordinates:
Tm  0.078  0.184  0.273
Tm  0.146  0.000  0.781
Tm  0.210  0.500  0.661
Sc  0.000  0.500  0.500
Te  0.131  0.500  0.126